Record 1
# Tl2PBr (PBEsol, relaxed)
# total magnetization	0.0	μB per cell
# calculated density	8051	kg/m³
# formation energy from raw total energies	-0.04	eV per atom
# energy	-3.274	eV/atom
# ΔE to the lowest computed polymorph	0	meV per atom
data_Tl2PBr
_chemical_formula_sum 'Tl2 P1 Br1'
_cell_length_a 4.245
_cell_length_b 4.245
_cell_length_c 5.948
_cell_angle_alpha 90.00
_cell_angle_beta 90.00
_cell_angle_gamma 90.00
_symmetry_space_group_name_H-M 'P 1'
_symmetry_Int_Tables_number 1
loop_
_symmetry_equiv_pos_as_xyz
'x,y,z'
loop_
_atom_site_label
_atom_site_type_symbol
_atom_site_fract_x
_atom_site_fract_y
_atom_site_fract_z
Tl1 Tl 0.000 0.000 0.875
Tl2 Tl 0.500 0.500 0.374
Br1 Br 0.000 0.000 0.376
P1 P 0.500 0.500 0.875

=====

Record 2
# TlPBr3 (PBEsol, relaxed)
# total magnetization	2.5	μB per cell
# calculated density	4715	kg/m³
# formation energy from raw total energies	0.45	eV per atom
# energy	-2.352	eV/atom
data_TlPBr3
_chemical_formula_sum 'Tl1 P1 Br3'
_cell_length_a 5.510
_cell_length_b 5.510
_cell_length_c 5.510
_cell_angle_alpha 90.00
_cell_angle_beta 90.00
_cell_angle_gamma 90.00
_symmetry_space_group_name_H-M 'P 1'
_symmetry_Int_Tables_number 1
loop_
_symmetry_equiv_pos_as_xyz
'x,y,z'
loop_
_atom_site_label
_atom_site_type_symbol
_atom_site_fract_x
_atom_site_fract_y
_atom_site_fract_z
P1 P 0.500 0.500 0.500
Br1 Br 0.000 0.000 0.500
Br2 Br 0.000 0.500 0.000
Br3 Br 0.500 0.000 0.000
Tl1 Tl 0.000 0.000 0.000

=====

Record 3
# PWBr (PBEsol, relaxed)
# total magnetization	0.0	μB per cell
# calculated density	8674	kg/m³
# formation energy from raw total energies	0.47	eV per atom
# energy	-6.685	eV/atom
data_PWBr
_chemical_formula_sum 'P1 W1 Br1'
_cell_length_a 3.092
_cell_length_b 3.092
_cell_length_c 6.732
_cell_angle_alpha 97.57
_cell_angle_beta 97.57
_cell_angle_gamma 115.25
_symmetry_space_group_name_H-M 'P 1'
_symmetry_Int_Tables_number 1
loop_
_symmetry_equiv_pos_as_xyz
'x,y,z'
loop_
_atom_site_label
_atom_site_type_symbol
_atom_site_fract_x
_atom_site_fract_y
_atom_site_fract_z
P1 P 0.304 0.304 0.608
Br1 Br 0.018 0.018 0.036
W1 W 0.678 0.678 0.356

=====

Record 4
# PWBr2 (PBEsol, relaxed)
# total magnetization	0.0	μB per cell
# calculated density	9084	kg/m³
# formation energy from raw total energies	0.97	eV per atom
# energy	-4.865	eV/atom
# ΔE to the lowest computed polymorph	785	meV per atom
data_PWBr2
_chemical_formula_sum 'P1 W1 Br2'
_cell_length_a 4.396
_cell_length_b 4.713
_cell_length_c 4.396
_cell_angle_alpha 117.80
_cell_angle_beta 90.00
_cell_angle_gamma 117.80
_symmetry_space_group_name_H-M 'P 1'
_symmetry_Int_Tables_number 1
loop_
_symmetry_equiv_pos_as_xyz
'x,y,z'
loop_
_atom_site_label
_atom_site_type_symbol
_atom_site_fract_x
_atom_site_fract_y
_atom_site_fract_z
Br1 Br 0.000 0.000 0.000
Br2 Br 0.750 0.500 0.250
W1 W 0.250 0.500 0.750
P1 P 0.500 0.000 0.500

=====

Record 5
# PW2Br (PBEsol, relaxed)
# total magnetization	0.0	μB per cell
# calculated density	13722	kg/m³
# formation energy from raw total energies	0.67	eV per atom
# energy	-8.146	eV/atom
# ΔE to the lowest computed polymorph	0	meV per atom
data_PW2Br
_chemical_formula_sum 'P1 W2 Br1'
_cell_length_a 3.065
_cell_length_b 4.347
_cell_length_c 4.347
_cell_angle_alpha 90.00
_cell_angle_beta 90.00
_cell_angle_gamma 90.00
_symmetry_space_group_name_H-M 'P 1'
_symmetry_Int_Tables_number 1
loop_
_symmetry_equiv_pos_as_xyz
'x,y,z'
loop_
_atom_site_label
_atom_site_type_symbol
_atom_site_fract_x
_atom_site_fract_y
_atom_site_fract_z
W1 W 0.000 0.500 0.000
W2 W 0.000 0.000 0.500
Br1 Br 0.500 0.500 0.500
P1 P 0.500 0.000 0.000

=====

Record 6
# PWBr2 (PBEsol, relaxed)
# total magnetization	0.0	μB per cell
# calculated density	7509	kg/m³
# formation energy from raw total energies	0.18	eV per atom
# energy	-5.650	eV/atom
# ΔE to the lowest computed polymorph	0	meV per atom
data_PWBr2
_chemical_formula_sum 'P1 W1 Br2'
_cell_length_a 3.016
_cell_length_b 3.016
_cell_length_c 9.110
_cell_angle_alpha 90.00
_cell_angle_beta 90.00
_cell_angle_gamma 90.00
_symmetry_space_group_name_H-M 'P 1'
_symmetry_Int_Tables_number 1
loop_
_symmetry_equiv_pos_as_xyz
'x,y,z'
loop_
_atom_site_label
_atom_site_type_symbol
_atom_site_fract_x
_atom_site_fract_y
_atom_site_fract_z
W1 W 0.500 0.500 0.732
Br1 Br 0.000 0.000 0.922
Br2 Br 0.500 0.500 0.263
P1 P 0.000 0.000 0.584

=====

Record 7
# PWBr2 (PBEsol, relaxed)
# total magnetization	0.1	μB per cell
# calculated density	8720	kg/m³
# formation energy from raw total energies	1.10	eV per atom
# energy	-4.736	eV/atom
# ΔE to the lowest computed polymorph	915	meV per atom
data_PWBr2
_chemical_formula_sum 'P1 W1 Br2'
_cell_length_a 2.995
_cell_length_b 4.526
_cell_length_c 5.263
_cell_angle_alpha 90.00
_cell_angle_beta 90.00
_cell_angle_gamma 90.00
_symmetry_space_group_name_H-M 'P 1'
_symmetry_Int_Tables_number 1
loop_
_symmetry_equiv_pos_as_xyz
'x,y,z'
loop_
_atom_site_label
_atom_site_type_symbol
_atom_site_fract_x
_atom_site_fract_y
_atom_site_fract_z
P1 P 0.500 0.500 0.000
W1 W 0.000 0.500 0.500
Br1 Br 0.000 0.000 0.000
Br2 Br 0.500 0.000 0.500

=====

Record 8
# P2WBr (PBEsol, relaxed)
# total magnetization	0.0	μB per cell
# calculated density	8556	kg/m³
# formation energy from raw total energies	0.75	eV per atom
# energy	-6.070	eV/atom
data_P2WBr
_chemical_formula_sum 'P2 W1 Br1'
_cell_length_a 3.194
_cell_length_b 4.620
_cell_length_c 4.620
_cell_angle_alpha 102.18
_cell_angle_beta 101.48
_cell_angle_gamma 101.48
_symmetry_space_group_name_H-M 'P 1'
_symmetry_Int_Tables_number 1
loop_
_symmetry_equiv_pos_as_xyz
'x,y,z'
loop_
_atom_site_label
_atom_site_type_symbol
_atom_site_fract_x
_atom_site_fract_y
_atom_site_fract_z
W1 W 0.500 0.000 0.000
Br1 Br 0.500 0.500 0.500
P1 P 0.000 0.500 0.000
P2 P 0.000 0.000 0.500